## P
First-principles (GGA+U) data for a relaxed V4O9 crystal, as listed in Alexandria.

Cell lengths 8.5197, 8.5197, 4.7348 Å; angles 90.00, 90.00, 90.00 degrees
Closest atoms and distances in Å follow each position.
Fractional positions:
V (0.7846, 0.0957, 0.6253)  1 O 1.61
V (0.4043, 0.2846, 0.6253)  1 O 1.61
V (0.2846, 0.5957, 0.3747)  1 O 1.61
V (0.9043, 0.7846, 0.3747)  1 O 1.61
V (0.5957, 0.7154, 0.6253)  1 O 1.61
V (0.2154, 0.9043, 0.6253)  1 O 1.61
V (0.0957, 0.2154, 0.3747)  1 O 1.61
V (0.7154, 0.4043, 0.3747)  1 O 1.61
O (0.5000, 0.5000, 0.5000)  4 V 2.09
O (0.6049, 0.2130, 0.5020)  3 V 1.91-1.98
O (0.4135, 0.2756, 0.9646)  1 V 1.61
O (0.2870, 0.1049, 0.5020)  3 V 1.91-1.98
O (0.2756, 0.5865, 0.0354)  1 V 1.61
O (0.8951, 0.2870, 0.4980)  3 V 1.91-1.98
O (0.3951, 0.7870, 0.5020)  3 V 1.91-1.98
O (0.0000, 0.0000, 0.5000)  4 V 2.09
O (0.7756, 0.0865, 0.9646)  1 V 1.61
O (0.2244, 0.9135, 0.9646)  1 V 1.61
O (0.7244, 0.4135, 0.0354)  1 V 1.61
O (0.7870, 0.6049, 0.4980)  3 V 1.91-1.98
O (0.2130, 0.3951, 0.4980)  3 V 1.91-1.98
O (0.5865, 0.7244, 0.9646)  1 V 1.61
O (0.1049, 0.7130, 0.4980)  3 V 1.91-1.98
O (0.0865, 0.2244, 0.0354)  1 V 1.61
O (0.9135, 0.7756, 0.0354)  1 V 1.61
O (0.7130, 0.8951, 0.5020)  3 V 1.91-1.98

***

## Q
First-principles (GGA+U) data for a relaxed V4O9 crystal, as listed in Alexandria.

Cell lengths 3.6980, 9.6172, 18.1301 Å; angles 90.00, 90.00, 90.00 degrees
Closest atoms and distances in Å follow each position.
Fractional positions:
V (0.7500, 0.5529, 0.6840)  3 O 1.74-1.94
V (0.2500, 0.9671, 0.5787)  1 O 1.61
V (0.7500, 0.8043, 0.8334)  1 O 1.71
V (0.2500, 0.2327, 0.9900)  1 O 1.64
V (0.2500, 0.4471, 0.3160)  3 O 1.74-1.94
V (0.2500, 0.2673, 0.4900)  1 O 1.64
V (0.2500, 0.1957, 0.1666)  1 O 1.71
V (0.2500, 0.0529, 0.8160)  3 O 1.74-1.94
V (0.7500, 0.4671, 0.9213)  1 O 1.61
V (0.7500, 0.9471, 0.1840)  3 O 1.74-1.94
V (0.2500, 0.5329, 0.0787)  1 O 1.61
V (0.7500, 0.0329, 0.4213)  1 O 1.61
V (0.7500, 0.7673, 0.0100)  1 O 1.64
V (0.7500, 0.6957, 0.3334)  1 O 1.71
V (0.7500, 0.7327, 0.5100)  1 O 1.64
V (0.2500, 0.3043, 0.6666)  1 O 1.71
O (0.7500, 0.2811, 0.9777)  3 V 1.92-2.06
O (0.2500, 0.6409, 0.3452)  3 V 1.93-1.94
O (0.7500, 0.1409, 0.1548)  3 V 1.93-1.94
O (0.7500, 0.8084, 0.2607)  1 V 1.71
O (0.2500, 0.1526, 0.8961)  2 V 1.74-1.87
O (0.2500, 0.0516, 0.4507)  2 V 1.93
O (0.2500, 0.3433, 0.0860)  3 V 1.83-2.04
O (0.2500, 0.7811, 0.5223)  3 V 1.92-2.06
O (0.7500, 0.6916, 0.7607)  1 V 1.71
O (0.7500, 0.8433, 0.4140)  3 V 1.83-2.04
O (0.7500, 0.8474, 0.1039)  2 V 1.74-1.87
O (0.2500, 0.1916, 0.7393)  1 V 1.71
O (0.2500, 0.3474, 0.3961)  2 V 1.74-1.87
O (0.7500, 0.6567, 0.9140)  3 V 1.83-2.04
O (0.2500, 0.9198, 0.6641)  1 V 1.61
O (0.7500, 0.5516, 0.0493)  2 V 1.93
O (0.2500, 0.4037, 0.5441)  1 V 1.64
O (0.7500, 0.5963, 0.4559)  1 V 1.64
O (0.7500, 0.9977, 0.7979)  3 V 1.95-1.97
O (0.7500, 0.4198, 0.8359)  1 V 1.61
O (0.2500, 0.0023, 0.2021)  3 V 1.95-1.97
O (0.7500, 0.6526, 0.6039)  2 V 1.74-1.87
O (0.7500, 0.9037, 0.9559)  1 V 1.64
O (0.2500, 0.4484, 0.9507)  2 V 1.93
O (0.2500, 0.3084, 0.2393)  1 V 1.71
O (0.7500, 0.2189, 0.4777)  3 V 1.92-2.06
O (0.7500, 0.5023, 0.2979)  3 V 1.95-1.97
O (0.2500, 0.8591, 0.8452)  3 V 1.93-1.94
O (0.2500, 0.7189, 0.0223)  3 V 1.92-2.06
O (0.2500, 0.4977, 0.7021)  3 V 1.95-1.97
O (0.7500, 0.3591, 0.6548)  3 V 1.93-1.94
O (0.2500, 0.1567, 0.5860)  3 V 1.83-2.04
O (0.2500, 0.0963, 0.0441)  1 V 1.64
O (0.7500, 0.0802, 0.3359)  1 V 1.61
O (0.2500, 0.5802, 0.1641)  1 V 1.61
O (0.7500, 0.9484, 0.5493)  2 V 1.93

***

Q is preferred energetically. Next in line: 93 meV per atom higher.